Record 1
DFT (PBE) results for a geometry-optimized Li6Ag2Rh structure.

Cell: 2.7325 7.5809 7.5809 Å, 59.99 89.97 89.97°
With the nearest neighbours (Å) after each atom.
Element x y z (fractional)
Li1 0.5021 0.0000 0.3225  5 Li 2.44-2.73
Li2 0.5006 0.0000 0.6774  5 Li 2.44-2.73
Li3 0.5006 0.6774 0.0000  5 Li 2.44-2.73
Li4 0.4974 0.3225 0.6775  5 Li 2.44-2.73
Li5 0.4974 0.6775 0.3225  5 Li 2.44-2.73
Li6 0.5021 0.3225 0.0000  5 Li 2.44-2.73
Ag1 0.0002 0.3333 0.3333  2 Ag 2.73, 12 Li 2.91
Ag2 0.0000 0.6667 0.6667  2 Ag 2.73, 12 Li 2.91
Rh1 0.9998 0.0000 0.0000  2 Rh 2.73, 12 Li 2.80

Output
energy	-2.881	eV per atom

***

Record 2
DFT (PBE) results for a geometry-optimized SmZrTc structure.

Cell: 4.8995 7.2893 7.8676 Å, 90.00 90.00 90.00°
With the nearest neighbours (Å) after each atom.
Element x y z (fractional)
Sm1 0.2500 0.8182 0.4733  4 Tc 2.99-3.29, 2 Zr 3.27
Sm2 0.7500 0.3182 0.0267  4 Tc 2.99-3.29, 2 Zr 3.27
Sm3 0.2500 0.6818 0.9733  4 Tc 2.99-3.29, 2 Zr 3.27
Sm4 0.7500 0.1818 0.5267  4 Tc 2.99-3.29, 2 Zr 3.27
Zr1 0.7500 0.8812 0.1778  4 Tc 2.70-2.76
Zr2 0.7500 0.6188 0.6778  4 Tc 2.70-2.76
Zr3 0.2500 0.1188 0.8222  4 Tc 2.70-2.76
Zr4 0.2500 0.3812 0.3222  4 Tc 2.70-2.76
Tc1 0.7500 0.5541 0.3382  4 Zr 2.70-2.76, 1 Sm 2.99
Tc2 0.7500 0.9459 0.8382  4 Zr 2.70-2.76, 1 Sm 2.99
Tc3 0.2500 0.0541 0.1618  4 Zr 2.70-2.76, 1 Sm 2.99
Tc4 0.2500 0.4459 0.6618  4 Zr 2.70-2.76, 1 Sm 2.99

Output
ΔE to the lowest computed polymorph	0.0454	eV per atom

***

Record 3
DFT (PBE) results for a geometry-optimized Ca4Fe structure.

Cell: 5.6296 5.6296 5.6296 Å, 90.00 90.00 90.00°
With the nearest neighbours (Å) after each atom.
Element x y z (fractional)
Ca1 0.0000 0.0000 0.0000  12 Ca 3.98
Ca2 0.5000 0.0000 0.5000  2 Fe 2.81
Ca3 0.0000 0.5000 0.5000  2 Fe 2.81
Ca4 0.5000 0.5000 0.0000  2 Fe 2.81
Fe1 0.5000 0.5000 0.5000  6 Ca 2.81

Output
energy	-2.998	eV per atom

***

Record 4
DFT (PBE) results for a geometry-optimized TaIn4 structure.

Cell: 5.6209 5.6209 5.6209 Å, 97.62 97.62 137.30°
With the nearest neighbours (Å) after each atom.
Element x y z (fractional)
Ta1 0.0000 0.0000 0.0000  12 In 3.08-3.27
In1 0.7903 0.3889 0.1792  8 In 2.96-3.25, 3 Ta 3.08-3.27
In2 0.3889 0.2097 0.5986  8 In 2.96-3.25, 3 Ta 3.08-3.27
In3 0.2097 0.6111 0.8208  8 In 2.96-3.25, 3 Ta 3.08-3.27
In4 0.6111 0.7903 0.4014  8 In 2.96-3.25, 3 Ta 3.08-3.27

Output
ΔE to the lowest computed polymorph	0.1149	eV per atom

***

Record 5
DFT (PBE) results for a geometry-optimized KAgW structure.

Cell: 12.6597 5.1352 5.0611 Å, 90.00 90.00 90.00°
With the nearest neighbours (Å) after each atom.
Element x y z (fractional)
K1 0.7503 0.2500 0.7511  2 W 3.42, 4 K 3.61, 4 Ag 3.64-3.65
K2 0.7497 0.7500 0.2511  2 W 3.42, 4 K 3.61, 4 Ag 3.64-3.65
K3 0.2497 0.7500 0.2489  2 W 3.42, 4 K 3.61, 4 Ag 3.64-3.65
K4 0.2503 0.2500 0.7489  2 W 3.42, 4 K 3.61, 4 Ag 3.64-3.65
Ag1 0.0000 0.0000 0.0000  2 Ag 2.57, 4 W 2.82-2.86
Ag2 0.5000 0.5000 0.5000  2 Ag 2.57, 4 W 2.82-2.86
Ag3 0.5000 0.0000 0.5000  2 Ag 2.57, 4 W 2.82-2.86
Ag4 0.0000 0.5000 0.0000  2 Ag 2.57, 4 W 2.82-2.86
W1 0.5001 0.2500 0.0045  2 W 2.57, 4 Ag 2.82-2.86
W2 0.9999 0.7500 0.5045  2 W 2.57, 4 Ag 2.82-2.86
W3 0.4999 0.7500 0.9955  2 W 2.57, 4 Ag 2.82-2.86
W4 0.0001 0.2500 0.4955  2 W 2.57, 4 Ag 2.82-2.86

Output
ΔE to the lowest computed polymorph	0.1893	eV per atom

***

Record 6
DFT (PBE) results for a geometry-optimized ThZrMoPd structure.

Cell: 4.9232 4.9232 4.9232 Å, 60.00 60.00 60.00°
With the nearest neighbours (Å) after each atom.
Element x y z (fractional)
Zr1 0.0000 0.0000 0.0000  4 Mo 3.01, 4 Pd 3.01
Mo1 0.2500 0.2500 0.2500  4 Th 3.01, 4 Zr 3.01
Pd1 0.7500 0.7500 0.7500  4 Zr 3.01, 4 Th 3.01
Th1 0.5000 0.5000 0.5000  4 Pd 3.01, 4 Mo 3.01

Output
energy	-8.240	eV per atom

***

Record 7
DFT (PBE) results for a geometry-optimized BiH2I2 structure.

Cell: 8.5784 6.3273 8.2940 Å, 79.69 74.69 47.32°
With the nearest neighbours (Å) after each atom.
Element x y z (fractional)
Bi1 0.6803 0.6393 0.5000  4 I 3.14, 8 H 3.24-3.50, 1 Bi 3.36
Bi2 0.3197 0.3607 0.5000  4 I 3.14, 8 H 3.24-3.50, 1 Bi 3.36
H1 0.8439 0.0000 0.5424  1 H 0.75
H2 0.1561 0.0000 0.4576  1 H 0.75
H3 0.8677 0.0000 0.4481  1 H 0.75
H4 0.1323 0.0000 0.5519  1 H 0.75
I1 0.5674 0.5040 0.2256  2 H 3.08-3.09, 2 Bi 3.14
I2 0.9286 0.5040 0.7744  2 H 3.08-3.09, 2 Bi 3.14
I3 0.4326 0.4960 0.7744  2 H 3.08-3.09, 2 Bi 3.14
I4 0.0714 0.4960 0.2256  2 H 3.08-3.09, 2 Bi 3.14

Output
ΔE to the lowest computed polymorph	0.0111	eV per atom

***

Record 8
DFT (PBE) results for a geometry-optimized KUAgBr6 structure.

Cell: 7.2962 7.2962 14.8248 Å, 90.00 90.00 120.00°
With the nearest neighbours (Å) after each atom.
Element x y z (fractional)
K1 0.0000 0.0000 0.0000  6 Br 3.35
K2 0.0000 0.0000 0.5000  6 Br 3.35
U1 0.3333 0.6667 0.2500  6 Br 2.80
U2 0.6667 0.3333 0.7500  6 Br 2.80
Ag1 0.6667 0.3333 0.2500  6 Br 2.92
Ag2 0.3333 0.6667 0.7500  6 Br 2.92
Br1 0.6321 0.6450 0.1388  1 U 2.80, 1 Ag 2.92
Br2 0.0129 0.3679 0.1388  1 U 2.80, 1 Ag 2.92
Br3 0.3679 0.0129 0.6388  1 U 2.80, 1 Ag 2.92
Br4 0.9871 0.6321 0.8612  1 U 2.80, 1 Ag 2.92
Br5 0.3550 0.3679 0.3612  1 U 2.80, 1 Ag 2.92
Br6 0.0129 0.6450 0.3612  1 U 2.80, 1 Ag 2.92
Br7 0.6450 0.0129 0.8612  1 U 2.80, 1 Ag 2.92
Br8 0.6321 0.9871 0.3612  1 U 2.80, 1 Ag 2.92
Br9 0.9871 0.3550 0.6388  1 U 2.80, 1 Ag 2.92
Br10 0.3550 0.9871 0.1388  1 U 2.80, 1 Ag 2.92
Br11 0.6450 0.6321 0.6388  1 U 2.80, 1 Ag 2.92
Br12 0.3679 0.3550 0.8612  1 U 2.80, 1 Ag 2.92

Output
energy relative to the elements, uncorrected	-1202	meV per atom

***

no.,total magnetization (μB per formula unit),calculated volume (Å³ per cell)
1,0.3,136
2,0.0,281
3,1.9,178
4,0.0,112
5,0.0,329
6,0.0,84
7,0.0,319
8,2.0,683